[1]
A plane-wave DFT calculation with PBE-GGA was carried out for an optimized crystal structure of Sn2Te2Cl.

Its total moment is 0.000 μB per cell. The density of states at the Fermi level comes out at 2.31 states/eV per cell. Its energy above the most stable polymorph in this dataset is 0.207 eV/atom. For the density, the calculation gives 5.1 g cm⁻³.

The space group is I4/mmm (No. 139) and the conventional cell measures 4.934, 4.934 and 14.123 Å, with angles of 90.00, 90.00 and 90.00 degrees. The asymmetric unit holds Sn at (0.000, 0.000, 0.118), Te at (0.000, 0.500, 0.250) and Cl at (0.000, 0.000, 0.500).



[2]
A plane-wave DFT calculation with PBE-GGA was carried out for an optimized crystal structure of SnTe3Cl.

Its total moment is 0.000 μB per cell. The density of states at the Fermi level comes out at 9.10 states/eV per cell. Its energy above the most stable polymorph in this dataset is 0.004 eV/atom. For the density, the calculation gives 4.8 g cm⁻³.

The space group is Pm-3m (No. 221) and the conventional cell measures 5.708, 5.708 and 5.708 Å, with angles of 90.00, 90.00 and 90.00 degrees. The asymmetric unit holds Sn at (0.000, 0.000, 0.000), Te at (0.000, 0.000, 0.500) and Cl at (0.500, 0.500, 0.500).



[3]
A plane-wave DFT calculation with PBE-GGA was carried out for an optimized crystal structure of Sn2TeCl2.

Its total moment is 0.000 μB per cell. Its energy above the most stable polymorph in this dataset is 0.000 eV/atom. For the density, the calculation gives 4.0 g cm⁻³.

The space group is C2/m (No. 12) and the conventional cell measures 14.591, 4.405 and 5.800 Å, with angles of 90.00, 103.13 and 90.00 degrees. The asymmetric unit holds Sn at (0.146, 0.000, 0.153), Te at (0.000, 0.500, 0.000) and Cl at (0.200, 0.000, 0.741).



[4]
A plane-wave DFT calculation with PBE-GGA was carried out for an optimized crystal structure of Sn3TeCl4.

Its total moment is 0.000 μB per cell. The density of states at the Fermi level comes out at 0.00 states/eV per cell. For the density, the calculation gives 3.6 g cm⁻³.

The space group is Cc (No. 9) and the conventional cell measures 16.319, 7.387 and 11.126 Å, with angles of 90.00, 119.67 and 90.00 degrees. The asymmetric unit holds Sn at (0.000, 0.030, 0.000), Sn at (0.128, 0.453, 0.699), Sn at (0.358, 0.031, 0.246), Te at (0.179, 0.235, 0.084), Cl at (0.081, 0.285, 0.461), Cl at (0.293, 0.299, 0.811), Cl at (0.406, 0.127, 0.500) and Cl at (0.448, 0.368, 0.248).



[5]
A plane-wave DFT calculation with PBE-GGA was carried out for an optimized crystal structure of Sn2Te2Cl.

Its total moment is 0.000 μB per cell. The density of states at the Fermi level comes out at 2.68 states/eV per cell. Its energy above the most stable polymorph in this dataset is 0.076 eV/atom. For the density, the calculation gives 6.0 g cm⁻³.

The space group is P4/mbm (No. 127) and the conventional cell measures 8.387, 8.387 and 4.138 Å, with angles of 90.00, 90.00 and 90.00 degrees. The asymmetric unit holds Sn at (0.174, 0.326, 0.000), Te at (0.140, 0.640, 0.500) and Cl at (0.000, 0.000, 0.000).



[6]
A plane-wave DFT calculation with PBE-GGA was carried out for an optimized crystal structure of TlSnTeCl.

Its total moment is 0.000 μB per cell. The density of states at the Fermi level comes out at 2.82 states/eV per cell. Its energy above the most stable polymorph in this dataset is 0.125 eV/atom. For the density, the calculation gives 6.9 g cm⁻³.

The space group is F-43m (No. 216) and the conventional cell measures 7.776, 7.776 and 7.776 Å, with angles of 90.00, 90.00 and 90.00 degrees. The asymmetric unit holds Tl at (0.000, 0.000, 0.000), Sn at (0.000, 0.000, 0.500), Te at (0.250, 0.250, 0.250) and Cl at (0.250, 0.250, 0.750).



[7]
A plane-wave DFT calculation with PBE-GGA was carried out for an optimized crystal structure of TlSnTeCl2.

Its total moment is 0.000 μB per cell. The density of states at the Fermi level comes out at 4.37 states/eV per cell. For the density, the calculation gives 5.1 g cm⁻³.

The space group is P4/mmm (No. 123) and the conventional cell measures 5.388, 5.388 and 5.840 Å, with angles of 90.00, 90.00 and 90.00 degrees. The asymmetric unit holds Tl at (0.000, 0.000, 0.000), Sn at (0.500, 0.500, 0.500), Te at (0.500, 0.500, 0.000) and Cl at (0.000, 0.500, 0.500).



[8]
A plane-wave DFT calculation with PBE-GGA was carried out for an optimized crystal structure of TlSnTeCl.

Its total moment is 0.000 μB per cell. Its energy above the most stable polymorph in this dataset is 0.000 eV/atom. For the density, the calculation gives 5.3 g cm⁻³.

The space group is R-3m (No. 166, hexagonal axes) and the conventional cell measures 5.4351, 5.4351 and 35.5780 Å, with angles of 90.00, 90.00 and 120.00 degrees. The asymmetric unit holds Tl at (0.0000, 0.0000, 0.1183), Sn at (0.0000, 0.0000, 0.2939), Te at (0.0000, 0.0000, 0.3801) and Cl at (0.0000, 0.0000, 0.2038).



[9]
A plane-wave DFT calculation with PBE-GGA was carried out for an optimized crystal structure of ZnSnTe2Cl.

Its total moment is 0.000 μB per cell. The density of states at the Fermi level comes out at 3.43 states/eV per cell. For the density, the calculation gives 5.1 g cm⁻³.

The space group is P4/mmm (No. 123) and the conventional cell measures 5.160, 5.160 and 5.811 Å, with angles of 90.00, 90.00 and 90.00 degrees. The asymmetric unit holds Zn at (0.000, 0.000, 0.000), Sn at (0.000, 0.000, 0.500), Te at (0.000, 0.500, 0.000) and Cl at (0.500, 0.500, 0.500).



[10]
A plane-wave DFT calculation with PBE-GGA was carried out for an optimized crystal structure of ThSn2Cl8.

Its total moment is 0.000 μB per cell. The density of states at the Fermi level comes out at 0.00 states/eV per cell. For the density, the calculation gives 3.3 g cm⁻³.

The space group is P-1 (No. 2) and the conventional cell measures 6.707, 7.827 and 7.951 Å, with angles of 73.73, 74.64 and 77.78 degrees. The asymmetric unit holds Th at (0.000, 0.000, 0.000), Sn at (0.246, 0.366, 0.355), Cl at (0.153, 0.609, 0.574), Cl at (0.225, 0.666, 0.048), Cl at (0.250, 0.114, 0.146) and Cl at (0.255, 0.083, 0.672).



[11]
A plane-wave DFT calculation with PBE-GGA was carried out for an optimized crystal structure of Th2SnCl11.

Its total moment is 0.129 μB per cell. The density of states at the Fermi level comes out at 63.17 states/eV per cell. For the density, the calculation gives 3.5 g cm⁻³.

The space group is Ibam (No. 72) and the conventional cell measures 10.467, 13.006 and 13.657 Å, with angles of 90.00, 90.00 and 90.00 degrees. The asymmetric unit holds Th at (0.146, 0.185, 0.000), Sn at (0.000, 0.500, 0.250), Cl at (0.000, 0.000, 0.000), Cl at (0.106, 0.323, 0.146), Cl at (0.122, 0.215, 0.500) and Cl at (0.234, 0.427, 0.362).



[12]
A plane-wave DFT calculation with PBE-GGA was carried out for an optimized crystal structure of ThSnCl.

Its total moment is 0.000 μB per cell. The density of states at the Fermi level comes out at 4.68 states/eV per cell. For the density, the calculation gives 6.0 g cm⁻³.

The space group is P2_1/c (No. 14) and the conventional cell measures 10.215, 5.842 and 7.708 Å, with angles of 90.00, 111.27 and 90.00 degrees. The asymmetric unit holds Th at (0.165, 0.157, 0.270), Sn at (0.108, 0.665, 0.084) and Cl at (0.363, 0.153, 0.090).



no.,raw formation energy (meV/atom)
1,-211
2,496
3,-623
4,-757
5,-342
6,-439
7,-593
8,-563
9,169
10,-1521
11,-1631
12,-983